First-principles (GGA-PBE) data for a relaxed structure of AlInSe2, as listed in the Alexandria database.

Cell: 5.787 5.787 6.951 Å, 65.40 65.40 90.00°
Fractional coordinates of all 8 atoms:
Se: 0.729 0.729 0.542
Se: 0.021 0.521 0.958
Se: 0.271 0.271 0.458
Se: 0.479 0.979 0.042
In: 0.750 0.250 0.500
In: 0.000 0.000 0.000
Al: 0.500 0.500 0.000
Al: 0.250 0.750 0.500

Results
As for the mass density: 5.290 g/cm³. Its formation energy from raw total energies is -0.41 eV/atom.